No. 1
# YRhSe2 (PBE, optimized geometry)
data_YRhSe2
_chemical_formula_sum 'Y2 Rh2 Se4'
_cell_length_a 5.7907
_cell_length_b 7.7945
_cell_length_c 4.8318
_cell_angle_alpha 90.00
_cell_angle_beta 126.21
_cell_angle_gamma 90.00
_symmetry_space_group_name_H-M 'C 1 2/m 1'
_symmetry_Int_Tables_number 12
_symmetry_space_group_name_Hall '-C 2y'
loop_
_atom_site_label
_atom_site_type_symbol
_atom_site_fract_x
_atom_site_fract_y
_atom_site_fract_z
Y1 Y 0.0000 0.0000 0.0000
Rh1 Rh 0.0000 0.5000 0.0000
Se1 Se 0.2500 0.2500 0.5000
# Fermi-level density of states   5.5 states/eV per cell
# DFT total energy   -5.894 eV per atom

---

No. 2
# YRh4Se (PBE, optimized geometry)
data_YRh4Se
_chemical_formula_sum 'Y4 Rh16 Se4'
_cell_length_a 7.4642
_cell_length_b 7.4642
_cell_length_c 7.4642
_cell_angle_alpha 90.00
_cell_angle_beta 90.00
_cell_angle_gamma 90.00
_symmetry_space_group_name_H-M 'F -4 3 m'
_symmetry_Int_Tables_number 216
_symmetry_space_group_name_Hall 'F -4 2 3'
loop_
_atom_site_label
_atom_site_type_symbol
_atom_site_fract_x
_atom_site_fract_y
_atom_site_fract_z
Y1 Y 0.0000 0.0000 0.0000
Rh1 Rh 0.1246 0.1246 0.6246
Se1 Se 0.2500 0.2500 0.2500
# Fermi-level density of states   44.0 states/eV per cell
# DFT total energy   -6.750 eV per atom

---

No. 3
# Y4RhSe (PBE, optimized geometry)
data_Y4RhSe
_chemical_formula_sum 'Y16 Rh4 Se4'
_cell_length_a 8.6197
_cell_length_b 8.6197
_cell_length_c 8.6197
_cell_angle_alpha 90.00
_cell_angle_beta 90.00
_cell_angle_gamma 90.00
_symmetry_space_group_name_H-M 'F -4 3 m'
_symmetry_Int_Tables_number 216
_symmetry_space_group_name_Hall 'F -4 2 3'
loop_
_atom_site_label
_atom_site_type_symbol
_atom_site_fract_x
_atom_site_fract_y
_atom_site_fract_z
Y1 Y 0.1242 0.1242 0.3758
Rh1 Rh 0.2500 0.2500 0.7500
Se1 Se 0.0000 0.0000 0.0000
# Fermi-level density of states   39.6 states/eV per cell
# DFT total energy   -5.700 eV per atom

---

No. 4
# YRhSe2 (PBE, optimized geometry)
data_YRhSe2
_chemical_formula_sum 'Y1 Rh1 Se2'
_cell_length_a 4.6686
_cell_length_b 4.6686
_cell_length_c 3.4913
_cell_angle_alpha 90.00
_cell_angle_beta 90.00
_cell_angle_gamma 90.00
_symmetry_space_group_name_H-M 'P 4/m m m'
_symmetry_Int_Tables_number 123
_symmetry_space_group_name_Hall '-P 4 2'
loop_
_atom_site_label
_atom_site_type_symbol
_atom_site_fract_x
_atom_site_fract_y
_atom_site_fract_z
Y1 Y 0.0000 0.0000 0.0000
Rh1 Rh 0.5000 0.5000 0.0000
Se1 Se 0.0000 0.5000 0.5000
# Fermi-level density of states   2.0 states/eV per cell
# DFT total energy   -6.104 eV per atom

---

No. 5
# YRhSe2 (PBE, optimized geometry)
data_YRhSe2
_chemical_formula_sum 'Y2 Rh2 Se4'
_cell_length_a 4.0193
_cell_length_b 6.2098
_cell_length_c 6.8477
_cell_angle_alpha 90.00
_cell_angle_beta 90.00
_cell_angle_gamma 90.00
_symmetry_space_group_name_H-M 'C m m m'
_symmetry_Int_Tables_number 65
_symmetry_space_group_name_Hall '-C 2 2'
loop_
_atom_site_label
_atom_site_type_symbol
_atom_site_fract_x
_atom_site_fract_y
_atom_site_fract_z
Y1 Y 0.0000 0.0000 0.0000
Rh1 Rh 0.0000 0.0000 0.5000
Se1 Se 0.0000 0.5000 0.2768
# Fermi-level density of states   4.4 states/eV per cell
# DFT total energy   -5.869 eV per atom

---

No. 6
# Y2RhSe (PBE, optimized geometry)
data_Y2RhSe
_chemical_formula_sum 'Y8 Rh4 Se4'
_cell_length_a 7.3023
_cell_length_b 7.3023
_cell_length_c 7.8298
_cell_angle_alpha 90.00
_cell_angle_beta 90.00
_cell_angle_gamma 90.00
_symmetry_space_group_name_H-M 'I -4 2 d'
_symmetry_Int_Tables_number 122
_symmetry_space_group_name_Hall 'I -4 2bw'
loop_
_atom_site_label
_atom_site_type_symbol
_atom_site_fract_x
_atom_site_fract_y
_atom_site_fract_z
Y1 Y 0.2347 0.7500 0.1250
Rh1 Rh 0.0000 0.0000 0.0000
Se1 Se 0.0000 0.0000 0.5000
# Fermi-level density of states   13.7 states/eV per cell
# DFT total energy   -6.772 eV per atom